# NdEr2C PBE optimized geometry
data_NdEr2C
_cell_length_a 3.5110
_cell_length_b 3.5110
_cell_length_c 29.3435
_cell_angle_alpha 90.00
_cell_angle_beta 90.00
_cell_angle_gamma 120.00
_symmetry_space_group_name_H-M 'R -3 m'
_symmetry_Int_Tables_number 166
_symmetry_space_group_name_Hall '-R 3 2"'
loop_
_atom_site_label
_atom_site_fract_x
_atom_site_fract_y
_atom_site_fract_z
Nd1 0.0000 0.0000 0.0000
Er1 0.0000 0.0000 0.1213
C1 0.0000 0.0000 0.5000
# energy above the most stable polymorph in this dataset: 80 meV per atom

=====

# NdEr2C PBE optimized geometry
data_NdEr2C
_cell_length_a 3.5661
_cell_length_b 3.5661
_cell_length_c 27.6027
_cell_angle_alpha 90.00
_cell_angle_beta 90.00
_cell_angle_gamma 120.00
_symmetry_space_group_name_H-M 'R 3 m'
_symmetry_Int_Tables_number 160
_symmetry_space_group_name_Hall 'R 3 -2"'
loop_
_atom_site_label
_atom_site_fract_x
_atom_site_fract_y
_atom_site_fract_z
Nd1 0.0000 0.0000 0.0000
Er1 0.0000 0.0000 0.5470
Er2 0.0000 0.0000 0.7837
C1 0.0000 0.0000 0.1649
# energy above the most stable polymorph in this dataset: 0 meV per atom

=====

A geometry-optimized Nd3ErC structure, computed with PBE.

```
data_Nd3ErC
_cell_length_a 5.2279
_cell_length_b 5.2279
_cell_length_c 5.2279
_cell_angle_alpha 90.00
_cell_angle_beta 90.00
_cell_angle_gamma 90.00
_symmetry_space_group_name_H-M 'P m -3 m'
_symmetry_Int_Tables_number 221
_symmetry_space_group_name_Hall '-P 4 2 3'
loop_
_atom_site_label
_atom_site_fract_x
_atom_site_fract_y
_atom_site_fract_z
Nd1 0.0000 0.0000 0.5000
Er1 0.5000 0.5000 0.5000
C1 0.0000 0.0000 0.0000
```

=====

A geometry-optimized NdErC2 structure, computed with PBE.

```
data_NdErC2
_cell_length_a 3.6715
_cell_length_b 3.6715
_cell_length_c 17.8951
_cell_angle_alpha 90.00
_cell_angle_beta 90.00
_cell_angle_gamma 120.00
_symmetry_space_group_name_H-M 'R -3 m'
_symmetry_Int_Tables_number 166
_symmetry_space_group_name_Hall '-R 3 2"'
loop_
_atom_site_label
_atom_site_fract_x
_atom_site_fract_y
_atom_site_fract_z
Nd1 0.0000 0.0000 0.0000
Er1 0.0000 0.0000 0.5000
C1 0.0000 0.0000 0.2447
```

=====

A geometry-optimized Nd3ErC8 structure, computed with PBE.

```
data_Nd3ErC8
_cell_length_a 7.2640
_cell_length_b 7.2640
_cell_length_c 7.6391
_cell_angle_alpha 90.00
_cell_angle_beta 90.00
_cell_angle_gamma 90.00
_symmetry_space_group_name_H-M 'I -4 2 m'
_symmetry_Int_Tables_number 121
_symmetry_space_group_name_Hall 'I -4 2'
loop_
_atom_site_label
_atom_site_fract_x
_atom_site_fract_y
_atom_site_fract_z
Nd1 0.0000 0.0000 0.0000
Nd2 0.0000 0.5000 0.2500
Er1 0.0000 0.0000 0.5000
C1 0.1595 0.1595 0.7179
C2 0.2359 0.2359 0.1242
```

=====

A geometry-optimized NdEr3C structure, computed with PBE.

```
data_NdEr3C
_cell_length_a 5.0171
_cell_length_b 5.0171
_cell_length_c 5.0171
_cell_angle_alpha 90.00
_cell_angle_beta 90.00
_cell_angle_gamma 90.00
_symmetry_space_group_name_H-M 'P m -3 m'
_symmetry_Int_Tables_number 221
_symmetry_space_group_name_Hall '-P 4 2 3'
loop_
_atom_site_label
_atom_site_fract_x
_atom_site_fract_y
_atom_site_fract_z
Nd1 0.0000 0.0000 0.0000
Er1 0.0000 0.5000 0.5000
C1 0.5000 0.5000 0.5000
```

=====

A geometry-optimized NdEr8C4 structure, computed with PBE.

```
data_NdEr8C4
_cell_length_a 17.8885
_cell_length_b 3.5740
_cell_length_c 12.3102
_cell_angle_alpha 90.00
_cell_angle_beta 132.24
_cell_angle_gamma 90.00
_symmetry_space_group_name_H-M 'C 1 2/m 1'
_symmetry_Int_Tables_number 12
loop_
_symmetry_equiv_pos_as_xyz
'x,y,z'
'-x,-y,-z'
'-x,y,-z'
'x,-y,z'
'x+1/2,y+1/2,z'
'-x+1/2,-y+1/2,-z'
'-x+1/2,y+1/2,-z'
'x+1/2,-y+1/2,z'
loop_
_atom_site_label
_atom_site_fract_x
_atom_site_fract_y
_atom_site_fract_z
Nd1 0.0000 0.0000 0.0000
Er1 0.0414 0.0000 0.7306
Er2 0.1394 0.5000 0.5981
Er3 0.1646 0.5000 0.3489
Er4 0.2067 0.5000 0.0643
C1 0.1486 0.0000 0.4680
C2 0.1670 0.5000 0.8253
```

=====

A geometry-optimized Nd2Er4C structure, computed with PBE.

```
data_Nd2Er4C
_cell_length_a 4.8161
_cell_length_b 4.8161
_cell_length_c 17.9861
_cell_angle_alpha 90.00
_cell_angle_beta 90.00
_cell_angle_gamma 90.00
_symmetry_space_group_name_H-M 'I 4/m m m'
_symmetry_Int_Tables_number 139
_symmetry_space_group_name_Hall '-I 4 2'
loop_
_atom_site_label
_atom_site_fract_x
_atom_site_fract_y
_atom_site_fract_z
Nd1 0.0000 0.0000 0.1774
Er1 0.0000 0.0000 0.3686
Er2 0.0000 0.5000 0.0000
C1 0.0000 0.0000 0.5000
```

=====

| no. | formation energy from the elements (eV/f.u.) | DOS(E_F) (states/eV per cell) |
| --- | --- | --- |
| 1 | -0.51 | 13.13 |
| 2 | -0.83 | 10.99 |
| 3 | 0.50 | 6.55 |
| 4 | 0.68 | 15.74 |
| 5 | 1.82 | 6.24 |
| 6 | -0.16 | 4.74 |
| 7 | -2.84 | 23.81 |
| 8 | 0.64 | 20.59 |